The following is a PBE-GGA calculation of a relaxed structure of NdErNp2S4, from Alexandria via LeMat-Bulk.

Output
E_form (uncorrected) ... -13.27 eV/f.u.
E_tot ... -8.124 eV per atom
Space group ... P2/m (10)

Unit cell a=3.9454 b=6.8739 c=6.7814 alpha=109.63 beta=90.00 gamma=90.00
Closest atoms and distances in Å follow each position.
Positions (direct):
1 Np 0.0000 0.5000 0.5000  6 S 2.74-2.75
2 Np 0.5000 0.0000 0.5000  6 S 2.80-2.82
3 S 0.0000 0.7433 0.2503  3 Np 2.75-2.80, 2 Er 2.77, 1 Nd 2.83
4 S 0.0000 0.2567 0.7497  3 Np 2.75-2.80, 2 Er 2.77, 1 Nd 2.83
5 S 0.5000 0.7384 0.7433  3 Np 2.74-2.82, 1 Er 2.76, 2 Nd 2.84
6 S 0.5000 0.2616 0.2567  3 Np 2.74-2.82, 1 Er 2.76, 2 Nd 2.84
7 Er 0.5000 0.5000 0.0000  6 S 2.76-2.77
8 Nd 0.0000 0.0000 0.0000  6 S 2.83-2.84

The following is a PBE-GGA calculation of a relaxed structure of NaMgP2, from Alexandria via LeMat-Bulk.

Output
Energy relative to the lowest polymorph listed for this composition ... 0.000 eV per atom
E_tot ... -3.555 eV per atom
E_form ... -0.49 eV per formula unit
Space group ... I-42d (122)

Unit cell a=4.6940 b=4.6940 c=9.0061 alpha=74.89 beta=74.89 gamma=90.00
Closest atoms and distances in Å follow each position.
Positions (direct):
1 Na 0.5000 0.5000 0.0000  4 P 2.99, 4 Mg 3.32
2 Na 0.2500 0.7500 0.5000  4 P 2.99, 4 Mg 3.32
3 P 0.3750 0.2465 0.7500  2 Mg 2.47, 2 P 2.61
4 P 0.8750 0.0035 0.7500  2 Mg 2.47, 2 P 2.61
5 P 0.7535 0.1250 0.2500  2 Mg 2.47, 2 P 2.61
6 P 0.9965 0.6250 0.2500  2 Mg 2.47, 2 P 2.61
7 Mg 0.7500 0.2500 0.5000  4 P 2.47
8 Mg 0.0000 0.0000 0.0000  4 P 2.47

The following is a PBE-GGA calculation of a relaxed structure of TbTmSnPd, from Alexandria via LeMat-Bulk.

Output
E_tot ... -5.316 eV per atom
E_form ... -2.97 eV per formula unit
Space group ... F-43m (216)

Unit cell a=5.1353 b=5.1353 c=5.1353 alpha=60.00 beta=60.00 gamma=60.00
Closest atoms and distances in Å follow each position.
Positions (direct):
1 Pd 0.0000 0.0000 0.0000  4 Tb 3.14, 4 Tm 3.14
2 Tb 0.7500 0.7500 0.7500  4 Sn 3.14, 4 Pd 3.14
3 Sn 0.5000 0.5000 0.5000  4 Tb 3.14, 4 Tm 3.14
4 Tm 0.2500 0.2500 0.2500  4 Sn 3.14, 4 Pd 3.14